# 1
Cu3Ag after structural relaxation, computed with GGA-PBEsol.

a = 3.7042 Å, b = 3.7042 Å, c = 4.5288 Å
α = 114.14°, β = 114.14°, γ = 90.00°
Atoms (fractional coordinates):
Cu 0.5000 0.5000 0.0000
Cu 0.7500 0.2500 0.5000
Ag 0.0000 0.0000 0.0000
Cu 0.2500 0.7500 0.5000

## Properties
The formation energy is 0.085 eV/atom. For the spin magnetization, the calculation gives 0.000 μB/cell.

---

# 2
SiGePd2Ru after structural relaxation, computed with GGA-PBEsol.

a = 4.4959 Å, b = 4.4959 Å, c = 4.5426 Å
α = 90.00°, β = 90.00°, γ = 90.00°
Atoms (fractional coordinates):
Pd 0.0000 0.5000 0.0000
Pd 0.5000 0.0000 0.0000
Ge 0.0000 0.0000 0.0000
Si 0.5000 0.5000 0.5000
Ru 0.0000 0.0000 0.5000

## Properties
Its raw formation energy is 0.7724 eV per atom. For the spin magnetization, the calculation gives 1.504 μB/cell.

---

# 3
KGa3Ir after structural relaxation, computed with GGA-PBEsol.

a = 5.0590 Å, b = 5.0590 Å, c = 5.0590 Å
α = 90.00°, β = 90.00°, γ = 90.00°
Atoms (fractional coordinates):
Ga 0.0000 0.5000 0.0000
Ir 0.5000 0.5000 0.5000
Ga 0.0000 0.0000 0.5000
Ga 0.5000 0.0000 0.0000
K 0.0000 0.0000 0.0000

## Properties
The formation energy is 2.036 eV/atom. The energy above the lowest structure with this stoichiometry is 2272.3 meV per atom. For the spin magnetization, the calculation gives 0.000 μB/cell.

---

# 4
BaScGa3 after structural relaxation, computed with GGA-PBEsol.

a = 5.5155 Å, b = 5.5155 Å, c = 5.5155 Å
α = 90.00°, β = 90.00°, γ = 90.00°
Atoms (fractional coordinates):
Sc 0.5000 0.5000 0.5000
Ga 0.0000 0.5000 0.0000
Ba 0.0000 0.0000 0.0000
Ga 0.0000 0.0000 0.5000
Ga 0.5000 0.0000 0.0000

## Properties
The formation energy is 1.108 eV/atom. The energy above the lowest structure with this stoichiometry is 1187.9 meV per atom. For the spin magnetization, the calculation gives 0.730 μB/cell.

---

# 5
Ca2YRe after structural relaxation, computed with GGA-PBEsol.

a = 3.2454 Å, b = 3.2454 Å, c = 11.2573 Å
α = 81.71°, β = 81.71°, γ = 60.00°
Atoms (fractional coordinates):
Ca 0.7647 0.7647 0.7060
Y 0.0000 0.0000 0.0000
Re 0.5000 0.5000 0.5000
Ca 0.2353 0.2353 0.2940

## Properties
The formation energy is 0.765 eV/atom. The energy above the lowest structure with this stoichiometry is 66.9 meV per atom. For the spin magnetization, the calculation gives 0.666 μB/cell.

---

# 6
V3CuO8 after structural relaxation, computed with GGA-PBEsol.

a = 3.6944 Å, b = 6.0952 Å, c = 6.4560 Å
α = 105.09°, β = 90.00°, γ = 107.64°
Atoms (fractional coordinates):
V 0.4011 0.8022 0.2867
V 0.3001 0.6002 0.7148
O 0.4403 0.8805 0.6322
Cu 0.7062 0.4125 0.2988
O 0.8726 0.7452 0.2911
O 0.7701 0.5403 0.6880
O 0.2441 0.4882 0.3598
O 0.5522 0.1043 0.3570
O 0.1296 0.2592 0.6822
O 0.3598 0.7197 0.9889
O 0.6216 0.2432 0.9783
V 0.6023 0.2045 0.7221

## Properties
Its raw formation energy is -1.9987 eV per atom. The energy above the lowest structure with this stoichiometry is 0.0 meV per atom. For the spin magnetization, the calculation gives 0.589 μB/cell.

---

How do the records compare in density? In the order shown, they have 9778, 7499, 5649, 3874, 5826, 4291 kg/m³.
How do the records compare in raw total energy? In the order shown, they have -3.9936, -5.7827, -2.1591, -2.6463, -5.3401, -8.2680 eV/atom.